# NaAc4Nd

NaAc4Nd after structural relaxation (PBE, Alexandria).

Unit cell a=7.337 b=7.337 c=7.337 alpha=60.00 beta=60.00 gamma=60.00
Atoms (fractional coordinates):
Na 0.000 0.000 0.000
Ac 0.623 0.623 0.130
Ac 0.623 0.130 0.623
Ac 0.623 0.623 0.623
Ac 0.130 0.623 0.623
Nd 0.250 0.250 0.250

Output
As for the density of states at the Fermi level: 10.13 states/eV per cell. The calculation puts the calculated total energy at -20.2 eV per cell. As for the formation energy: 386 meV per atom.